No. 1
Crystalline NpCdO5 at its relaxed geometry. Source: Alexandria, functional GGA-PBE.

Formation energy (no corrections) ... -1.741 eV/atom
Energy ... -7.26 eV/atom

The structure in CIF format:
```
data_NpCdO5
_space_group_name_H-M_alt 'I m m m'
_space_group_IT_number 71
_space_group_name_Hall '-I 2 2'
_cell_length_a 4.1428
_cell_length_b 6.6437
_cell_length_c 8.1897
_cell_angle_alpha 90.00
_cell_angle_beta 90.00
_cell_angle_gamma 90.00
loop_
_atom_site_label
_atom_site_type_symbol
_atom_site_fract_x
_atom_site_fract_y
_atom_site_fract_z
Np1 Np 0.0000 0.0000 0.0000
Cd1 Cd 0.0000 0.0000 0.5000
O1 O 0.0000 0.0000 0.2333
O2 O 0.0000 0.2946 0.0000
O3 O 0.0000 0.5000 0.5000
```

***

No. 2
Crystalline NpCd3O7 at its relaxed geometry. Source: Alexandria, functional GGA-PBE.

Formation energy (no corrections) ... -1.451 eV/atom
Energy ... -6.03 eV/atom

The structure in CIF format:
```
data_NpCd3O7
_space_group_name_H-M_alt 'C 1 m 1'
_space_group_IT_number 8
_cell_length_a 8.1815
_cell_length_b 7.6563
_cell_length_c 6.0315
_cell_angle_alpha 90.00
_cell_angle_beta 109.56
_cell_angle_gamma 90.00
loop_
_space_group_symop_operation_xyz
'x,y,z'
'x,-y,z'
'x+1/2,y+1/2,z'
'x+1/2,-y+1/2,z'
loop_
_atom_site_label
_atom_site_type_symbol
_atom_site_fract_x
_atom_site_fract_y
_atom_site_fract_z
Np1 Np 0.0000 0.0000 0.0000
Cd1 Cd 0.0109 0.5000 0.0900
Cd2 Cd 0.1435 0.2486 0.6238
O1 O 0.0394 0.5000 0.4635
O2 O 0.0895 0.1793 0.2407
O3 O 0.2281 0.0000 0.8795
O4 O 0.2529 0.5000 0.0034
O5 O 0.4238 0.3043 0.7571
```

***

Record-wise spin magnetization values, in Bohr magnetons per cell: 0.00; 2.10